# 1
Here is crystalline MgPRu2 at its relaxed geometry from Alexandria via LeMat-Bulk. Energies are from PBE-GGA.

As for the magnetization: 0.0 μB per formula unit. For the density of states at the Fermi level, the calculation gives 1.3 states/eV/f.u. For the energy, the calculation gives -6.5070 eV/atom. The value obtained for the energy of formation from the pure elements is -118 meV/atom.

The space group is I-42d (No. 122) and the conventional cell measures 7.0049, 7.0049 and 5.2430 Å, with angles of 90.00, 90.00 and 90.00 degrees. The inequivalent atoms are Mg at (0.0000, 0.0000, 0.0000), P at (0.0000, 0.0000, 0.5000) and Ru at (0.1682, 0.2500, 0.6250).

# 2
Here is crystalline MgPRu2 at its relaxed geometry from Alexandria via LeMat-Bulk. Energies are from PBE-GGA.

As for the magnetization: 0.2 μB per formula unit. For the density of states at the Fermi level, the calculation gives 3.6 states/eV/f.u. For the energy, the calculation gives -6.4812 eV/atom. The value obtained for the energy of formation from the pure elements is -92 meV/atom.

The space group is P4mm (No. 99) and the conventional cell measures 2.8757, 2.8757 and 7.2350 Å, with angles of 90.00, 90.00 and 90.00 degrees. The inequivalent atoms are Mg at (0.0000, 0.0000, 0.0000), P at (0.5000, 0.5000, 0.3000), Ru at (0.0000, 0.0000, 0.4808) and Ru at (0.5000, 0.5000, 0.7364).

# 3
Here is crystalline MgPRu2 at its relaxed geometry from Alexandria via LeMat-Bulk. Energies are from PBE-GGA.

As for the magnetization: 0.0 μB per formula unit. For the density of states at the Fermi level, the calculation gives 4.0 states/eV/f.u. For the energy, the calculation gives -6.6781 eV/atom. The value obtained for the energy of formation from the pure elements is -289 meV/atom.

The space group is P4/mmm (No. 123) and the conventional cell measures 2.9565, 2.9565 and 6.3142 Å, with angles of 90.00, 90.00 and 90.00 degrees. The inequivalent atoms are Mg at (0.0000, 0.0000, 0.0000), P at (0.0000, 0.0000, 0.5000) and Ru at (0.5000, 0.5000, 0.2868).

# 4
Here is crystalline MgPRu2 at its relaxed geometry from Alexandria via LeMat-Bulk. Energies are from PBE-GGA.

As for the magnetization: 0.0 μB per formula unit. For the density of states at the Fermi level, the calculation gives 3.4 states/eV/f.u. For the energy, the calculation gives -6.2068 eV/atom. The value obtained for the energy of formation from the pure elements is 182 meV/atom.

The space group is F-43m (No. 216) and the conventional cell measures 6.1319, 6.1319 and 6.1319 Å, with angles of 90.00, 90.00 and 90.00 degrees. The inequivalent atoms are Mg at (0.0000, 0.0000, 0.0000), P at (0.2500, 0.2500, 0.7500), Ru at (0.0000, 0.0000, 0.5000) and Ru at (0.2500, 0.2500, 0.2500).

# 5
Here is crystalline Mg4PRu at its relaxed geometry from Alexandria via LeMat-Bulk. Energies are from PBE-GGA.

As for the magnetization: 0.0 μB per formula unit. For the density of states at the Fermi level, the calculation gives 2.6 states/eV/f.u. For the energy, the calculation gives -3.0826 eV/atom. The value obtained for the energy of formation from the pure elements is 428 meV/atom.

The space group is F-43m (No. 216) and the conventional cell measures 7.5766, 7.5766 and 7.5766 Å, with angles of 90.00, 90.00 and 90.00 degrees. The inequivalent atoms are Mg at (0.1244, 0.1244, 0.3756), P at (0.0000, 0.0000, 0.0000) and Ru at (0.2500, 0.2500, 0.7500).

# 6
Here is crystalline MgPRu2 at its relaxed geometry from Alexandria via LeMat-Bulk. Energies are from PBE-GGA.

As for the magnetization: 0.7 μB per formula unit. For the density of states at the Fermi level, the calculation gives 3.6 states/eV/f.u. For the energy, the calculation gives -6.1562 eV/atom. The value obtained for the energy of formation from the pure elements is 233 meV/atom.

The space group is Cmm2 (No. 35) and the conventional cell measures 2.9828, 4.7723 and 8.4594 Å, with angles of 90.00, 90.00 and 90.00 degrees. The inequivalent atoms are Mg at (0.0000, 0.0000, 0.0000), P at (0.0000, 0.5000, 0.7305), Ru at (0.0000, 0.0000, 0.5233) and Ru at (0.0000, 0.5000, 0.2570).

# 7
Here is crystalline MgPRu2 at its relaxed geometry from Alexandria via LeMat-Bulk. Energies are from PBE-GGA.

As for the magnetization: 0.0 μB per formula unit. For the density of states at the Fermi level, the calculation gives 2.9 states/eV/f.u. For the energy, the calculation gives -6.8581 eV/atom. The value obtained for the energy of formation from the pure elements is -469 meV/atom.

The space group is Cmcm (No. 63) and the conventional cell measures 3.1336, 12.1202 and 6.1467 Å, with angles of 90.00, 90.00 and 90.00 degrees. The inequivalent atoms are Mg at (0.0000, 0.0077, 0.2500), P at (0.0000, 0.2149, 0.7500) and Ru at (0.0000, 0.3558, 0.0048).

# 8
Here is crystalline MgPRu2 at its relaxed geometry from Alexandria via LeMat-Bulk. Energies are from PBE-GGA.

As for the magnetization: 0.0 μB per formula unit. For the density of states at the Fermi level, the calculation gives 1.4 states/eV/f.u. For the energy, the calculation gives -6.6474 eV/atom. The value obtained for the energy of formation from the pure elements is -258 meV/atom.

The space group is P2/m (No. 10) and the conventional cell measures 2.9630, 3.6428 and 5.5989 Å, with angles of 90.00, 104.62 and 90.00 degrees. The inequivalent atoms are Mg at (0.0000, 0.0000, 0.0000), P at (0.0000, 0.0000, 0.5000) and Ru at (0.3466, 0.5000, 0.7153).

# 9
Here is crystalline MgPRu2 at its relaxed geometry from Alexandria via LeMat-Bulk. Energies are from PBE-GGA.

As for the magnetization: 0.0 μB per formula unit. For the density of states at the Fermi level, the calculation gives 3.1 states/eV/f.u. For the energy, the calculation gives -6.4267 eV/atom. The value obtained for the energy of formation from the pure elements is -38 meV/atom.

The space group is Cmmm (No. 65) and the conventional cell measures 3.0525, 4.9468 and 7.9477 Å, with angles of 90.00, 90.00 and 90.00 degrees. The inequivalent atoms are Mg at (0.0000, 0.0000, 0.0000), P at (0.0000, 0.0000, 0.5000) and Ru at (0.0000, 0.5000, 0.2888).

# 10
Here is crystalline MgPRu2 at its relaxed geometry from Alexandria via LeMat-Bulk. Energies are from PBE-GGA.

As for the magnetization: 0.0 μB per formula unit. For the density of states at the Fermi level, the calculation gives 3.0 states/eV/f.u. For the energy, the calculation gives -6.5805 eV/atom. The value obtained for the energy of formation from the pure elements is -191 meV/atom.

The space group is Immm (No. 71) and the conventional cell measures 2.9565, 4.6316 and 8.4596 Å, with angles of 90.00, 90.00 and 90.00 degrees. The inequivalent atoms are Mg at (0.0000, 0.0000, 0.0000), P at (0.0000, 0.0000, 0.5000) and Ru at (0.0000, 0.5000, 0.2095).

# 11
Here is crystalline MgPRu2 at its relaxed geometry from Alexandria via LeMat-Bulk. Energies are from PBE-GGA.

As for the magnetization: 0.0 μB per formula unit. For the density of states at the Fermi level, the calculation gives 3.3 states/eV/f.u. For the energy, the calculation gives -6.5882 eV/atom. The value obtained for the energy of formation from the pure elements is -199 meV/atom.

The space group is P4/mmm (No. 123) and the conventional cell measures 4.1846, 4.1846 and 3.0359 Å, with angles of 90.00, 90.00 and 90.00 degrees. The inequivalent atoms are Mg at (0.0000, 0.0000, 0.0000), P at (0.5000, 0.5000, 0.0000) and Ru at (0.0000, 0.5000, 0.5000).

# 12
Here is crystalline MgP2Ru4 at its relaxed geometry from Alexandria via LeMat-Bulk. Energies are from PBE-GGA.

As for the magnetization: 0.0 μB per formula unit. For the density of states at the Fermi level, the calculation gives 2.4 states/eV/f.u. For the energy, the calculation gives -7.5655 eV/atom. The value obtained for the energy of formation from the pure elements is -492 meV/atom.

The space group is Pnma (No. 62) and the conventional cell measures 16.1486, 3.9709 and 6.0370 Å, with angles of 90.00, 90.00 and 90.00 degrees. The inequivalent atoms are Mg at (0.1412, 0.2500, 0.0006), P at (0.0366, 0.7500, 0.7512), P at (0.2148, 0.2500, 0.4925), Ru at (0.0369, 0.7500, 0.1365), Ru at (0.0705, 0.2500, 0.5123), Ru at (0.1801, 0.7500, 0.7211) and Ru at (0.1911, 0.7500, 0.2794).